CaInI2O | GGA-PBEsol | optimized geometry

Unit cell a=4.244 b=6.133 c=6.133 alpha=90.00 beta=90.00 gamma=90.00
Element x y z (fractional)
I (0.000, 0.000, 0.500)
I (0.000, 0.500, 0.000)
Ca (0.000, 0.000, 0.000)
O (0.500, 0.000, 0.000)
In (0.500, 0.500, 0.500)

Properties
- Density of states at the Fermi level: 4.72 states/eV per cell
- ΔE_f (raw): -4.4 eV/f.u.
- SG: No. 123